# 1
Computed, not measured: crystalline Tm2Te6Ir at its relaxed geometry at the GGA-PBE level of DFT.

The structure in POSCAR format:
```
Tm2Te6Ir
1.0
8.2885 0.0000 0.0000
-4.1443 7.1781 0.0000
0.0000 0.0000 3.9703
Ir Te Tm
1 6 2
Direct
0.0000 0.0000 0.0000 Ir
0.5514 0.0000 0.0000 Te
0.4486 0.4486 0.0000 Te
0.0000 0.5514 0.0000 Te
0.2279 0.0000 0.5000 Te
0.0000 0.2279 0.5000 Te
0.7721 0.7721 0.5000 Te
0.6667 0.3333 0.5000 Tm
0.3333 0.6667 0.5000 Tm
```

Output
volume: 26.25 Å³ per atom
space group: P-62m
total DFT energy (no corrections): -42.65 eV/cell
spin magnetization: 0.01 μB per cell

---

# 2
Computed, not measured: crystalline Tm3Te5Ir at its relaxed geometry at the GGA-PBE level of DFT.

The structure in POSCAR format:
```
Tm3Te5Ir
1.0
8.5668 0.0000 0.0000
-4.2834 7.4191 0.0000
0.0000 0.0000 3.7698
Ir Te Tm
1 5 3
Direct
0.0000 0.0000 0.0000 Ir
0.2338 0.0000 0.5000 Te
0.0000 0.2338 0.5000 Te
0.6667 0.3333 0.5000 Te
0.3333 0.6667 0.5000 Te
0.7662 0.7662 0.5000 Te
0.6466 0.0000 0.0000 Tm
0.3534 0.3534 0.0000 Tm
0.0000 0.6466 0.0000 Tm
```

Output
volume: 26.62 Å³ per atom
space group: P-62m
total DFT energy (no corrections): -44.30 eV/cell
spin magnetization: 0.01 μB per cell
relative energy among the computed polymorphs: 106 meV per atom

---

# 3
Computed, not measured: crystalline Tm5Te3Ir at its relaxed geometry at the GGA-PBE level of DFT.

The structure in POSCAR format:
```
Tm5Te3Ir
1.0
8.1380 0.0000 0.0000
-4.0690 7.0478 0.0000
0.0000 0.0000 4.1265
Ir Te Tm
1 3 5
Direct
0.0000 0.0000 0.0000 Ir
0.2666 0.0000 0.5000 Te
0.0000 0.2666 0.5000 Te
0.7334 0.7334 0.5000 Te
0.6646 0.0000 0.0000 Tm
0.3354 0.3354 0.0000 Tm
0.0000 0.6646 0.0000 Tm
0.6667 0.3333 0.5000 Tm
0.3333 0.6667 0.5000 Tm
```

Output
volume: 26.30 Å³ per atom
space group: P-62m
total DFT energy (no corrections): -45.17 eV/cell
spin magnetization: 0.02 μB per cell
relative energy among the computed polymorphs: 212 meV per atom

---

# 4
Computed, not measured: crystalline Tm3Te5Ir at its relaxed geometry at the GGA-PBE level of DFT.

The structure in POSCAR format:
```
Tm3Te5Ir
1.0
8.4441 0.0000 0.0000
-4.2220 7.3128 0.0000
0.0000 0.0000 4.1425
Ir Te Tm
1 5 3
Direct
0.0000 0.0000 0.0000 Ir
0.6879 0.0000 0.0000 Te
0.3121 0.3121 0.0000 Te
0.0000 0.6879 0.0000 Te
0.6667 0.3333 0.5000 Te
0.3333 0.6667 0.5000 Te
0.2611 0.0000 0.5000 Tm
0.0000 0.2611 0.5000 Tm
0.7389 0.7389 0.5000 Tm
```

Output
volume: 28.42 Å³ per atom
space group: P-62m
total DFT energy (no corrections): -45.25 eV/cell
spin magnetization: 0.05 μB per cell
relative energy among the computed polymorphs: 0 meV per atom

---

# 5
Computed, not measured: crystalline Y3Tm3Te2Ir at its relaxed geometry at the GGA-PBE level of DFT.

The structure in POSCAR format:
```
Y3Tm3Te2Ir
1.0
-6.6446 -3.4687 -3.6164
7.5195 -0.7966 -3.4760
0.6067 -3.3249 2.0744
Ir Te Tm Y
1 2 3 3
Direct
0.0000 0.0000 0.0000 Ir
0.6667 0.3333 0.5000 Te
0.3333 0.6667 0.5000 Te
0.3925 0.0000 0.0000 Tm
0.0000 0.3925 0.0000 Tm
0.6075 0.6075 0.0000 Tm
0.7550 0.0000 0.5000 Y
0.2450 0.2450 0.5000 Y
0.0000 0.7550 0.5000 Y
```

Output
volume: 26.43 Å³ per atom
space group: P-62m
total DFT energy (no corrections): -55.21 eV/cell
spin magnetization: 0.09 μB per cell
relative energy among the computed polymorphs: 75 meV per atom

---

# 6
Computed, not measured: crystalline Y3Tm3Te2Ir at its relaxed geometry at the GGA-PBE level of DFT.

The structure in POSCAR format:
```
Y3Tm3Te2Ir
1.0
-2.0355 -4.9434 6.3269
7.9263 0.7522 -2.2842
0.4391 3.0585 2.5310
Ir Te Tm Y
1 2 3 3
Direct
0.0000 0.0000 0.0000 Ir
0.6667 0.3333 0.5000 Te
0.3333 0.6667 0.5000 Te
0.7615 0.0000 0.5000 Tm
0.2385 0.2385 0.5000 Tm
0.0000 0.7615 0.5000 Tm
0.3957 0.0000 0.0000 Y
0.0000 0.3957 0.0000 Y
0.6043 0.6043 0.0000 Y
```

Output
volume: 26.37 Å³ per atom
space group: P-62m
total DFT energy (no corrections): -55.88 eV/cell
spin magnetization: 0.18 μB per cell
relative energy among the computed polymorphs: 0 meV per atom

---

# 7
Computed, not measured: crystalline TeIrW2 at its relaxed geometry at the GGA-PBE level of DFT.

The structure in POSCAR format:
```
TeIrW2
1.0
0.0000 3.2595 3.2595
3.2595 0.0000 3.2595
3.2595 3.2595 0.0000
Ir Te W
1 1 2
Direct
0.2500 0.2500 0.2500 Ir
0.5000 0.5000 0.5000 Te
0.0000 0.0000 0.0000 W
0.7500 0.7500 0.7500 W
```

Output
volume: 17.31 Å³ per atom
space group: F-43m
total DFT energy (no corrections): -34.87 eV/cell
spin magnetization: 0.25 μB per cell

---

# 8
Computed, not measured: crystalline Y2Te2Ir at its relaxed geometry at the GGA-PBE level of DFT.

The structure in POSCAR format:
```
Y2Te2Ir
1.0
3.9734 -3.9734 0.0000
3.9734 3.9734 0.0000
-3.9734 0.0000 4.1963
Ir Te Y
1 2 2
Direct
0.0000 0.0000 0.0000 Ir
0.6871 0.6871 0.3743 Te
0.3129 0.3129 0.6257 Te
0.7500 0.2500 0.5000 Y
0.2500 0.7500 0.5000 Y
```

Output
volume: 26.50 Å³ per atom
space group: I4/mmm
total DFT energy (no corrections): -30.27 eV/cell
spin magnetization: 0.04 μB per cell